The following is a DFT calculation (PBE-GGA) of CeThTlPb after structural relaxation.

extended XYZ file:
```
4
Lattice="4.584 0.000 0.000 0.000 5.053 0.000 0.000 0.000 5.056" Properties=species:S:1:pos:R:3 pbc="T T T"
Ce 0.000 0.000 0.000
Th 0.000 2.527 2.528
Tl 2.292 0.000 2.528
Pb 2.292 2.527 0.000
```

Output
Total energy (eV per atom): -5.125
Formation enthalpy at 0 K (kJ/mol of formula units): -103